This record from OQMD via LeMat-Bulk describes crystalline TbTmIn5 at its relaxed geometry. The functional is PBE.

Cell lengths 4.6961, 4.6961, 8.4291 Å; angles 90.00, 90.00, 90.00 degrees
Closest atoms and distances in Å follow each position.
Element x y z (fractional)
In 0.0000 0.5000 0.2674  2 Tm 3.06, 2 Tb 3.25, 6 In 3.25-3.32
In 0.5000 0.5000 0.0000  8 In 3.25, 4 Tb 3.32
In 0.0000 0.5000 0.7326  2 Tm 3.06, 2 Tb 3.25, 6 In 3.25-3.32
In 0.5000 0.0000 0.7326  2 Tm 3.06, 2 Tb 3.25, 6 In 3.25-3.32
In 0.5000 0.0000 0.2674  2 Tm 3.06, 2 Tb 3.25, 6 In 3.25-3.32
Tb 0.0000 0.0000 0.0000  12 In 3.25-3.32
Tm 0.0000 0.0000 0.5000  8 In 3.06

Calculated values
**Symmetry**: P4/mmm, No. 123
**Crystal system**: tetragonal
**Uncorrected energy**: -3.556 eV per atom